# 1
meta-GGA SCAN Ba2Ag, single point on PBEsol structure; energy above the lowest structure with this stoichiometry = 19 meV/atom; total magnetic moment = 0.33 Bohr magnetons per cell; ΔE_f = -0.16 eV/atom; calculated total energy = -221.9 eV for the cell shown
1.0
2.1553 -7.4634 0.0000
2.1553 7.4634 0.0000
0.0000 0.0000 7.9385
Ba Ag
4 2
Direct
0.0178 0.9822 0.5000
0.2801 0.7199 0.3257
0.7199 0.2801 0.8257
0.9822 0.0178 0.0000
0.3854 0.6146 0.7198
0.6146 0.3854 0.2198

# 2
meta-GGA SCAN BaMgZrRu2, single point on PBEsol structure; total magnetic moment = 0.00 Bohr magnetons per cell; ΔE_f = 1.21 eV/atom; calculated total energy = -138.8 eV for the cell shown
1.0
4.8133 0.0000 0.0000
0.0000 4.8133 0.0000
0.0000 0.0000 5.6707
Ba Mg Zr Ru
1 1 1 2
Direct
0.0000 0.0000 0.0000
0.5000 0.5000 0.0000
0.0000 0.0000 0.5000
0.0000 0.5000 0.5000
0.5000 0.0000 0.5000

# 3
meta-GGA SCAN Cd2HgAs, single point on PBEsol structure; energy above the lowest structure with this stoichiometry = 125 meV/atom; total magnetic moment = 0.00 Bohr magnetons per cell; ΔE_f = 0.11 eV/atom; calculated total energy = -148.7 eV for the cell shown
1.0
-2.2943 2.5036 3.7102
2.2943 -2.5036 3.7102
2.2943 2.5036 -3.7102
Cd Hg As
2 1 1
Direct
0.2481 0.2481 0.0000
0.7519 0.7519 0.0000
0.5000 0.0000 0.5000
0.0000 0.5000 0.5000

# 4
meta-GGA SCAN MgSi2Ir, single point on PBEsol structure; total magnetic moment = 0.00 Bohr magnetons per cell; calculated total energy = -96.7 eV for the cell shown
1.0
-1.3891 2.2818 4.9917
1.3891 -2.2818 4.9917
1.3891 2.2818 -4.9917
Mg Si Ir
1 2 1
Direct
0.0000 0.0000 0.0000
0.2953 0.7953 0.5000
0.7047 0.2047 0.5000
0.5000 0.5000 0.0000

# 5
meta-GGA SCAN CaZnRe2, single point on PBEsol structure; total magnetic moment = 0.00 Bohr magnetons per cell; ΔE_f = 0.39 eV/atom; calculated total energy = -163.8 eV for the cell shown
1.0
-2.1760 2.3168 3.2153
2.1760 -2.3168 3.2153
2.1760 2.3168 -3.2153
Ca Zn Re
1 1 2
Direct
0.0000 0.0000 0.0000
0.2602 0.7602 0.5000
0.5141 0.5141 0.0000
0.7318 0.2318 0.5000

# 6
meta-GGA SCAN BaZrF6, single point on PBEsol structure; total magnetic moment = 0.01 Bohr magnetons per cell; calculated total energy = -497.8 eV for the cell shown
1.0
6.5125 0.0000 0.0000
0.0000 9.4797 0.0000
-5.5315 0.0000 7.2738
Ba Zr F
4 4 24
Direct
0.0884 0.1804 0.3629
0.0884 0.3196 0.8629
0.9116 0.6804 0.1371
0.9116 0.8196 0.6371
0.3793 0.5354 0.6357
0.3793 0.9646 0.1357
0.6207 0.0354 0.8643
0.6207 0.4646 0.3643
0.0473 0.0325 0.8840
0.0473 0.4675 0.3840
0.1809 0.7188 0.5295
0.1809 0.7812 0.0295
0.2287 0.0375 0.6767
0.2287 0.4625 0.1767
0.3347 0.1560 0.2103
0.3347 0.3440 0.7103
0.4266 0.6045 0.8613
0.4266 0.8955 0.3613
0.4843 0.6235 0.4715
0.4843 0.8765 0.9715
0.5157 0.1235 0.0285
0.5157 0.3765 0.5285
0.5734 0.1045 0.6387
0.5734 0.3955 0.1387
0.6653 0.6560 0.2897
0.6653 0.8440 0.7897
0.7713 0.5375 0.8233
0.7713 0.9625 0.3233
0.8191 0.2188 0.9705
0.8191 0.2812 0.4705
0.9527 0.5325 0.6160
0.9527 0.9675 0.1160